Entry from Alexandria: a relaxed structure of NaCoNiF6 (PBE with a Hubbard U).

Unit cell a=5.1447 b=5.1447 c=9.8219 alpha=90.00 beta=90.00 gamma=120.00
Last column: nearest neighbours and their distance in Å.
Positions (direct):
1 Na 0.0000 0.0000 0.0000  6 F 2.34
2 Na 0.0000 0.0000 0.5000  6 F 2.34
3 Co 0.3333 0.6667 0.2500  6 F 1.87
4 Co 0.6667 0.3333 0.7500  6 F 1.87
5 Ni 0.3333 0.6667 0.7500  6 F 2.03
6 Ni 0.6667 0.3333 0.2500  6 F 2.03
7 F 0.0237 0.3731 0.1438  1 Co 1.87, 1 Ni 2.03
8 F 0.0237 0.6506 0.3562  1 Co 1.87, 1 Ni 2.03
9 F 0.3494 0.3731 0.3562  1 Co 1.87, 1 Ni 2.03
10 F 0.3494 0.9763 0.1438  1 Co 1.87, 1 Ni 2.03
11 F 0.3731 0.0237 0.6438  1 Co 1.87, 1 Ni 2.03
12 F 0.3731 0.3494 0.8562  1 Co 1.87, 1 Ni 2.03
13 F 0.6269 0.6506 0.1438  1 Co 1.87, 1 Ni 2.03
14 F 0.6269 0.9763 0.3562  1 Co 1.87, 1 Ni 2.03
15 F 0.6506 0.0237 0.8562  1 Co 1.87, 1 Ni 2.03
16 F 0.6506 0.6269 0.6438  1 Co 1.87, 1 Ni 2.03
17 F 0.9763 0.3494 0.6438  1 Co 1.87, 1 Ni 2.03
18 F 0.9763 0.6269 0.8562  1 Co 1.87, 1 Ni 2.03

Space-group type: P-31c (163)
Density of states at the Fermi level, states/eV/atom: 0.000
Uncorrected energy, eV/atom: -4.4309